# ZnCoO2

Crystalline ZnCoO2 at its relaxed geometry (PBE+U, Alexandria).

Computed properties:
Electronic total energy (eV per atom): -5.157

Unit cell a=2.972 b=7.827 c=8.314 alpha=88.04 beta=79.89 gamma=89.11
Space group P-1 (No. 2)
Asymmetric unit:
Zn  0.069  0.231  0.389 [2 per cell]
Zn  0.389  0.400  0.729 [2 per cell]
Co  0.164  0.925  0.214 [2 per cell]
Co  0.269  0.714  0.925 [2 per cell]
O  0.046  0.730  0.384 [2 per cell]
O  0.152  0.418  0.212 [2 per cell]
O  0.308  0.214  0.921 [2 per cell]
O  0.368  0.901  0.729 [2 per cell]